Pr3Nd4Sm2 | PBE-GGA | relaxed

The crystal system is trigonal. Its raw total energy is -42.270 eV per cell. The spin magnetization is 0.00 μB per formula unit. The calculation puts the density of states at the Fermi level at 1.8270 states/eV per atom. The calculation puts the formation enthalpy at 0 K at 64 meV per atom. The space group is P3m1. The energy above the most stable polymorph in this dataset comes out at 0 meV per atom.

a b c (Å): 3.675 3.675 27.491
angles (deg): 90.00 90.00 120.00
Sites, in units of the cell vectors:
Pr 0.000 0.000 0.000
Pr 0.000 0.000 0.337
Pr 0.667 0.333 0.670
Nd 0.000 0.000 0.559
Nd 0.000 0.000 0.782
Nd 0.667 0.333 0.230
Nd 0.667 0.333 0.451
Sm 0.667 0.333 0.105
Sm 0.667 0.333 0.888



CdSi4 | PBE-GGA | relaxed

The crystal system is cubic. Its raw total energy is -17.341 eV per cell. As for the energy relative to the elements, uncorrected: 1.0533 eV/atom. The spin magnetization is 0.00 μB per formula unit. The calculation puts the density of states at the Fermi level at 0.4789 states/eV per atom. The space group is Im-3m. The energy above the most stable polymorph in this dataset comes out at 753 meV per atom.

a b c (Å): 5.197 5.197 5.197
angles (deg): 109.47 109.47 109.47
Sites, in units of the cell vectors:
Cd 0.000 0.000 0.000
Si 0.000 0.000 0.500
Si 0.000 0.500 0.000
Si 0.500 0.000 0.000
Si 0.500 0.500 0.500



NbHgS2 | PBE-GGA | relaxed

The crystal system is tetragonal. Its raw total energy is -38.668 eV per cell. As for the energy relative to the elements, uncorrected: -0.1769 eV/atom. The spin magnetization is 2.08 μB per formula unit. The calculation puts the density of states at the Fermi level at 0.7409 states/eV per atom. The space group is I4_1/amd.

a b c (Å): 7.159 7.159 7.159
angles (deg): 136.57 136.57 63.10
Sites, in units of the cell vectors:
Nb 0.375 0.625 0.750
Nb 0.625 0.375 0.250
Hg 0.125 0.875 0.250
Hg 0.875 0.125 0.750
S 0.166 0.416 0.750
S 0.416 0.166 0.250
S 0.584 0.834 0.750
S 0.834 0.584 0.250



SiMo2CSe | PBE-GGA | relaxed

The crystal system is tetragonal. Its raw total energy is -37.329 eV per cell. As for the energy relative to the elements, uncorrected: 0.4930 eV/atom. The spin magnetization is 0.00 μB per formula unit. The calculation puts the density of states at the Fermi level at 1.2088 states/eV per atom. The space group is P4/mmm.

a b c (Å): 4.405 4.405 3.539
angles (deg): 90.00 90.00 90.00
Sites, in units of the cell vectors:
Si 0.000 0.000 0.000
Mo 0.000 0.500 0.500
Mo 0.500 0.000 0.500
C 0.000 0.000 0.500
Se 0.500 0.500 0.000



Hf3SnMo | PBE-GGA | relaxed

The crystal system is cubic. Its raw total energy is -36.758 eV per cell. The spin magnetization is 0.00 μB per formula unit. The calculation puts the density of states at the Fermi level at 0.7349 states/eV per atom. The calculation puts the formation enthalpy at 0 K at 1587 meV per atom. The space group is Pm-3m. The energy above the most stable polymorph in this dataset comes out at 1659 meV per atom.

a b c (Å): 5.126 5.126 5.126
angles (deg): 90.00 90.00 90.00
Sites, in units of the cell vectors:
Hf 0.000 0.000 0.500
Hf 0.000 0.500 0.000
Hf 0.500 0.000 0.000
Sn 0.000 0.000 0.000
Mo 0.500 0.500 0.500



Nd3TlAg | PBE-GGA | relaxed

The crystal system is monoclinic. Its raw total energy is -80.961 eV per cell. The spin magnetization is 0.00 μB per formula unit. The calculation puts the density of states at the Fermi level at 0.9702 states/eV per atom. The calculation puts the formation enthalpy at 0 K at -144 meV per atom. The space group is C2/c. The energy above the most stable polymorph in this dataset comes out at 88 meV per atom.

a b c (Å): 8.544 8.544 11.225
angles (deg): 92.88 92.88 48.11
Sites, in units of the cell vectors:
Nd 0.152 0.226 0.322
Nd 0.164 0.729 0.927
Nd 0.226 0.152 0.822
Nd 0.271 0.836 0.573
Nd 0.353 0.408 0.171
Nd 0.408 0.353 0.671
Nd 0.592 0.647 0.329
Nd 0.647 0.592 0.829
Nd 0.729 0.164 0.427
Nd 0.774 0.848 0.178
Nd 0.836 0.271 0.073
Nd 0.848 0.774 0.678
Tl 0.117 0.618 0.425
Tl 0.382 0.883 0.075
Tl 0.618 0.117 0.925
Tl 0.883 0.382 0.575
Ag 0.000 0.500 0.000
Ag 0.113 0.887 0.250
Ag 0.500 0.000 0.500
Ag 0.887 0.113 0.750



KZrB3 | PBE-GGA | relaxed

The crystal system is cubic. Its raw total energy is -16.042 eV per cell. The spin magnetization is 0.00 μB per formula unit. The calculation puts the density of states at the Fermi level at 0.8306 states/eV per atom. The calculation puts the formation enthalpy at 0 K at 2727 meV per atom. The space group is Pm-3m. The energy above the most stable polymorph in this dataset comes out at 1268 meV per atom.

a b c (Å): 4.276 4.276 4.276
angles (deg): 90.00 90.00 90.00
Sites, in units of the cell vectors:
K 0.000 0.000 0.000
Zr 0.500 0.500 0.500
B 0.000 0.000 0.500
B 0.000 0.500 0.000
B 0.500 0.000 0.000



Al2IrAu | PBE-GGA | relaxed

The crystal system is monoclinic. Its raw total energy is -21.918 eV per cell. The spin magnetization is 0.00 μB per formula unit. The calculation puts the density of states at the Fermi level at 0.3448 states/eV per atom. The calculation puts the formation enthalpy at 0 K at -574 meV per atom. The space group is Cm.

a b c (Å): 4.852 4.852 4.438
angles (deg): 104.20 104.20 37.02
Sites, in units of the cell vectors:
Al 0.000 0.000 0.000
Al 0.245 0.245 0.638
Ir 0.733 0.733 0.115
Au 0.501 0.501 0.495



Copy entry 8 word for word.
Al2IrAu | PBE-GGA | relaxed

The crystal system is monoclinic. Its raw total energy is -21.918 eV per cell. The spin magnetization is 0.00 μB per formula unit. The calculation puts the density of states at the Fermi level at 0.3448 states/eV per atom. The calculation puts the formation enthalpy at 0 K at -574 meV per atom. The space group is Cm.

a b c (Å): 4.852 4.852 4.438
angles (deg): 104.20 104.20 37.02
Sites, in units of the cell vectors:
Al 0.000 0.000 0.000
Al 0.245 0.245 0.638
Ir 0.733 0.733 0.115
Au 0.501 0.501 0.495



Please write out number 5 again, unchanged.
Hf3SnMo | PBE-GGA | relaxed

The crystal system is cubic. Its raw total energy is -36.758 eV per cell. The spin magnetization is 0.00 μB per formula unit. The calculation puts the density of states at the Fermi level at 0.7349 states/eV per atom. The calculation puts the formation enthalpy at 0 K at 1587 meV per atom. The space group is Pm-3m. The energy above the most stable polymorph in this dataset comes out at 1659 meV per atom.

a b c (Å): 5.126 5.126 5.126
angles (deg): 90.00 90.00 90.00
Sites, in units of the cell vectors:
Hf 0.000 0.000 0.500
Hf 0.000 0.500 0.000
Hf 0.500 0.000 0.000
Sn 0.000 0.000 0.000
Mo 0.500 0.500 0.500